Compound: Ac3SmCd2
Source: Alexandria via LeMat-Bulk
Functional: PBE
Structure: relaxed

POSCAR file:
```
Ac3SmCd2
1.0
4.017 0.000 0.000
0.000 4.017 0.000
0.000 0.000 13.373
Ac Sm Cd
3 1 2
direct
0.000 0.000 0.000
0.000 0.000 0.310
0.000 0.000 0.690
0.500 0.500 0.500
0.500 0.500 0.158
0.500 0.500 0.842
```

final energy: -3.3215 eV/atom
SG: P4/mmm, No. 123
E_form: -1.05 eV/f.u.

---

Compound: CuPdI6
Source: Alexandria via LeMat-Bulk
Functional: PBE
Structure: relaxed

POSCAR file:
```
CuPdI6
1.0
3.592 0.000 -0.002
1.796 10.142 -0.001
-0.004 0.000 8.149
I Pd Cu
6 1 1
direct
0.958 0.628 0.252
0.585 0.372 0.252
0.415 0.628 0.748
0.502 0.000 0.757
0.498 0.000 0.243
0.042 0.372 0.748
0.000 0.000 0.500
0.000 0.000 0.000
```

final energy: -2.0462 eV/atom
uncorrected formation energy: 0.2775 eV per atom
relative energy among the computed polymorphs: 27.45 kJ/mol of atoms
SG: C2/m, No. 12

---

Compound: LaAl4Sb
Source: Alexandria via LeMat-Bulk
Functional: PBE
Structure: relaxed

POSCAR file:
```
LaAl4Sb
1.0
-3.750 -0.827 4.177
-0.029 3.443 4.509
-4.269 3.662 0.746
Al Sb La
4 1 1
direct
0.375 0.375 0.876
0.876 0.375 0.375
0.375 0.876 0.375
0.375 0.375 0.375
0.000 0.000 0.000
0.750 0.750 0.750
```

final energy: -4.1971 eV/atom
uncorrected formation energy: -0.1938 eV per atom
SG: F-43m, No. 216

---

Compound: La4SmDy2Tm
Source: Alexandria via LeMat-Bulk
Functional: PBE
Structure: relaxed

POSCAR file:
```
La4SmDy2Tm
1.0
-5.188 1.472 2.548
-2.867 -1.328 -5.070
-3.753 -8.641 -2.649
Sm La Dy Tm
1 4 2 1
direct
0.500 0.500 0.000
0.000 0.758 0.743
0.500 0.257 0.743
0.500 0.743 0.257
0.000 0.242 0.257
0.500 0.000 0.500
0.000 0.000 0.000
0.000 0.500 0.500
```

final energy: -4.6821 eV/atom
SG: P2/m, No. 10
E_form: 0.65 eV/f.u.

---

Compound: Li3SbCl6
Source: Alexandria via LeMat-Bulk
Functional: PBE
Structure: relaxed

POSCAR file:
```
Li3SbCl6
1.0
-6.319 -3.559 1.046
-1.788 -2.322 6.873
-5.556 3.421 3.640
Li Cl Sb
3 6 1
direct
0.500 0.000 0.500
0.500 0.500 0.500
0.500 0.500 0.000
0.274 0.725 0.229
0.725 0.254 0.254
0.277 0.226 0.728
0.723 0.774 0.272
0.275 0.746 0.746
0.726 0.275 0.771
0.000 0.000 0.000
```

final energy: -3.4460 eV/atom
uncorrected formation energy: -1.3516 eV per atom
relative energy among the computed polymorphs: 0.00 kJ/mol of atoms
SG: P-1, No. 2

---

Compound: Nd3Dy2Sc4
Source: Alexandria via LeMat-Bulk
Functional: PBE
Structure: relaxed

POSCAR file:
```
Nd3Dy2Sc4
1.0
-4.711 -1.704 -3.076
-4.525 -9.453 2.909
-9.573 0.473 5.140
Sc Nd Dy
8 6 4
direct
0.889 0.866 0.597
0.061 0.828 0.064
0.389 0.597 0.866
0.439 0.936 0.172
0.111 0.134 0.403
0.939 0.172 0.936
0.561 0.064 0.828
0.611 0.403 0.134
0.250 0.648 0.352
0.750 0.352 0.648
0.226 0.959 0.716
0.274 0.284 0.041
0.774 0.041 0.284
0.726 0.716 0.959
0.944 0.501 0.264
0.056 0.499 0.736
0.444 0.264 0.501
0.556 0.736 0.499
```

final energy: -5.3063 eV/atom
SG: C2/c, No. 15
E_form: 1.08 eV/f.u.

---

Compound: LaHo4Ge4
Source: Alexandria via LeMat-Bulk
Functional: PBE
Structure: relaxed

POSCAR file:
```
LaHo4Ge4
1.0
-1.819 5.445 -0.428
-5.848 -2.497 -6.910
-6.722 -1.748 6.320
Ho La Ge
8 2 8
direct
0.113 0.148 0.611
0.387 0.648 0.111
0.613 0.889 0.648
0.113 0.852 0.389
0.887 0.389 0.148
0.887 0.611 0.852
0.387 0.352 0.889
0.613 0.111 0.352
0.000 0.000 0.000
0.500 0.500 0.500
0.396 0.653 0.799
0.104 0.847 0.701
0.896 0.701 0.153
0.604 0.799 0.347
0.396 0.347 0.201
0.104 0.153 0.299
0.896 0.299 0.847
0.604 0.201 0.653
```

final energy: -5.2318 eV/atom
SG: P4_2/n, No. 86
E_form: -5.38 eV/f.u.

---

Compound: HfSb2P
Source: Alexandria via LeMat-Bulk
Functional: PBE
Structure: relaxed

POSCAR file:
```
HfSb2P
1.0
6.440 0.000 0.000
0.000 6.440 0.000
3.220 3.220 6.127
Sb P Hf
4 2 2
direct
0.875 0.856 0.750
0.606 0.125 0.250
0.375 0.394 0.750
0.144 0.625 0.250
0.250 0.750 0.500
0.500 0.500 0.000
0.000 0.000 0.000
0.750 0.250 0.500
```

final energy: -5.4861 eV/atom
uncorrected formation energy: 0.4159 eV per atom
SG: I-42d, No. 122

---

Compound: K2Cd3Hg4Pb
Source: Alexandria via LeMat-Bulk
Functional: PBE
Structure: relaxed

POSCAR file:
```
K2Cd3Hg4Pb
1.0
-4.730 -0.294 2.017
-1.710 -2.201 -4.332
2.554 -10.703 4.430
Hg Cd K Pb
4 3 2 1
direct
0.500 0.000 0.638
0.000 0.500 0.362
0.500 0.500 0.000
0.000 0.000 0.000
0.000 0.500 0.123
0.000 0.000 0.500
0.500 0.000 0.877
0.000 0.500 0.754
0.500 0.000 0.246
0.500 0.500 0.500
```

final energy: -1.1147 eV/atom
SG: P-4m2, No. 115
E_form: -1.29 eV/f.u.

---

Compound: AlV2SiTc
Source: Alexandria via LeMat-Bulk
Functional: PBE
Structure: relaxed

POSCAR file:
```
AlV2SiTc
1.0
-1.515 3.384 -2.380
-3.788 -0.127 2.231
1.648 2.819 2.959
Tc Si V Al
1 1 2 1
direct
0.000 0.500 0.000
0.000 0.000 0.000
0.000 0.000 0.500
0.500 0.000 0.000
0.500 0.500 0.500
```

final energy: -6.9564 eV/atom
uncorrected formation energy: 0.5973 eV per atom
SG: P4/mmm, No. 123

---

Compound: Ba2HoCdHg6
Source: Alexandria via LeMat-Bulk
Functional: PBE
Structure: relaxed

POSCAR file:
```
Ba2HoCdHg6
1.0
-1.691 -4.528 -6.370
7.082 1.869 -3.209
5.033 -5.799 -2.233
Hg Ba Ho Cd
6 2 1 1
direct
0.754 0.754 0.000
0.754 0.246 0.000
0.246 0.754 0.000
0.246 0.246 0.508
0.754 0.754 0.492
0.246 0.246 0.000
0.750 0.250 0.500
0.250 0.750 0.500
0.500 0.500 0.000
0.000 0.000 0.000
```

final energy: -1.3236 eV/atom
SG: Fm-3m, No. 225
E_form: -2.09 eV/f.u.

---

Compound: YSiRu2
Source: Alexandria via LeMat-Bulk
Functional: PBE
Structure: relaxed

POSCAR file:
```
YSiRu2
1.0
-1.972 3.444 -2.200
-3.220 0.626 -3.135
-4.481 1.132 2.576
Ru Y Si
2 1 1
direct
0.028 0.028 0.932
0.472 0.472 0.568
0.250 0.250 0.250
0.750 0.750 0.750
```

final energy: -7.9291 eV/atom
uncorrected formation energy: -0.3194 eV per atom
SG: C2/m, No. 12

---

Compound: HgBi3S
Source: Alexandria via LeMat-Bulk
Functional: PBE
Structure: relaxed

POSCAR file:
```
HgBi3S
1.0
-5.343 1.830 -0.616
-1.273 -1.974 5.173
1.453 5.003 2.267
S Hg Bi
1 1 3
direct
0.500 0.500 0.500
0.000 0.000 0.000
0.500 0.000 0.000
0.000 0.000 0.500
0.000 0.500 0.000
```

final energy: -2.2781 eV/atom
uncorrected formation energy: 0.9363 eV per atom
relative energy among the computed polymorphs: 51.37 kJ/mol of atoms
SG: Pm-3m, No. 221

---

Compound: Ti3SnBi
Source: Alexandria via LeMat-Bulk
Functional: PBE
Structure: relaxed

POSCAR file:
```
Ti3SnBi
1.0
4.814 0.000 0.000
-2.407 6.803 0.656
0.000 0.179 7.282
Bi Ti Sn
2 6 2
direct
0.868 0.735 0.062
0.132 0.265 0.938
0.180 0.360 0.551
0.262 0.525 0.219
0.738 0.475 0.781
0.820 0.640 0.449
0.029 0.057 0.316
0.971 0.943 0.684
0.612 0.224 0.430
0.388 0.776 0.570
```

final energy: -6.3135 eV/atom
relative energy among the computed polymorphs: 0.00 kJ/mol of atoms
SG: C2/m, No. 12
E_form: 0.00 eV/f.u.

---

Compound: RePdBr3
Source: Alexandria via LeMat-Bulk
Functional: PBE
Structure: relaxed

POSCAR file:
```
RePdBr3
1.0
-0.427 4.492 -2.457
-3.345 -2.112 -3.278
-3.876 1.327 3.100
Pd Br Re
1 3 1
direct
0.500 0.500 0.500
0.000 0.000 0.500
0.500 0.000 0.000
0.000 0.500 0.000
0.000 0.000 0.000
```

final energy: -3.7640 eV/atom
uncorrected formation energy: 0.7679 eV per atom
relative energy among the computed polymorphs: 0.00 kJ/mol of atoms
SG: Pm-3m, No. 221

---

Compound: Li2YRe
Source: Alexandria via LeMat-Bulk
Functional: PBE
Structure: relaxed

POSCAR file:
```
Li2YRe
1.0
-1.429 -4.392 -1.134
2.855 -2.855 -2.514
2.023 -3.769 2.078
Y Re Li
1 1 2
direct
0.750 0.750 0.750
0.500 0.500 0.500
0.000 0.000 0.000
0.250 0.250 0.250
```

final energy: -5.0792 eV/atom
relative energy among the computed polymorphs: 20.87 kJ/mol of atoms
SG: F-43m, No. 216
E_form: 2.42 eV/f.u.

---

Compound: ThPdC
Source: Alexandria via LeMat-Bulk
Functional: PBE
Structure: relaxed

POSCAR file:
```
ThPdC
1.0
-3.781 -1.032 3.611
1.032 -8.748 2.512
4.232 -3.322 7.414
Pd C Th
6 6 6
direct
0.329 0.574 0.074
0.777 0.977 0.477
0.977 0.426 0.926
0.231 0.023 0.523
0.725 0.251 0.751
0.727 0.749 0.249
0.003 0.140 0.182
0.565 0.000 0.000
0.326 0.318 0.360
0.003 0.682 0.640
0.565 0.500 0.500
0.326 0.860 0.818
0.503 0.179 0.136
0.817 0.364 0.321
0.817 0.821 0.864
0.265 0.201 0.701
0.166 0.799 0.299
0.503 0.636 0.679
```

final energy: -7.3668 eV/atom
SG: Ima2, No. 46
E_form: -0.26 eV/f.u.

---

Compound: HgOs2Se
Source: Alexandria via LeMat-Bulk
Functional: PBE
Structure: relaxed

POSCAR file:
```
HgOs2Se
1.0
-3.896 -1.310 2.460
-3.189 -0.709 -3.502
4.393 -1.879 0.331
Os Hg Se
2 1 1
direct
0.250 0.750 0.500
0.000 0.000 0.000
0.750 0.250 0.500
0.500 0.500 0.000
```

final energy: -5.3795 eV/atom
uncorrected formation energy: 1.1820 eV per atom
SG: I-4m2, No. 119

---

Compound: YPd3C
Source: Alexandria via LeMat-Bulk
Functional: PBE
Structure: relaxed

POSCAR file:
```
YPd3C
1.0
5.057 0.000 0.000
0.000 5.057 0.000
0.000 0.000 5.057
Y Pd C
1 3 1
direct
0.000 0.000 0.000
0.000 0.500 0.000
0.000 0.000 0.500
0.500 0.000 0.000
0.500 0.500 0.500
```

final energy: -4.2737 eV/atom
relative energy among the computed polymorphs: 214.36 kJ/mol of atoms
SG: Pm-3m, No. 221
E_form: 9.90 eV/f.u.

---

Compound: PmTmMgRu
Source: Alexandria via LeMat-Bulk
Functional: PBE
Structure: relaxed

POSCAR file:
```
PmTmMgRu
1.0
-1.890 -2.787 0.588
2.361 -1.928 -1.548
3.955 -1.117 7.425
Ru Tm Pm Mg
1 1 1 1
direct
0.000 0.000 0.560
0.500 0.500 0.375
0.500 0.500 0.769
0.000 0.000 0.081
```

final energy: -5.2757 eV/atom
relative energy among the computed polymorphs: 0.00 kJ/mol of atoms
SG: P4mm, No. 99
E_form: -1.01 eV/f.u.

---

Compound: Pm4CdGe2
Source: Alexandria via LeMat-Bulk
Functional: PBE
Structure: relaxed

POSCAR file:
```
Pm4CdGe2
1.0
4.573 0.000 0.000
2.286 3.960 0.000
2.286 1.320 11.690
Ge Pm Cd
2 4 1
direct
0.098 0.098 0.705
0.902 0.902 0.295
0.612 0.612 0.164
0.801 0.801 0.597
0.199 0.199 0.403
0.388 0.388 0.836
0.000 0.000 0.000
```

final energy: -4.6229 eV/atom
SG: R-3m, No. 166
E_form: -3.21 eV/f.u.

---

Compound: KPm2NpO6
Source: Alexandria via LeMat-Bulk
Functional: PBE
Structure: relaxed

POSCAR file:
```
KPm2NpO6
1.0
6.083 0.000 0.000
3.041 5.268 0.000
3.041 1.756 5.328
Np O Pm K
1 6 2 1
direct
0.321 0.321 0.037
0.587 0.252 0.221
0.180 0.354 0.770
0.252 0.940 0.221
0.696 0.180 0.770
0.940 0.587 0.221
0.354 0.696 0.770
0.014 0.014 0.959
0.529 0.529 0.413
0.789 0.789 0.634
```

final energy: -8.2987 eV/atom
uncorrected formation energy: -2.9698 eV per atom
SG: R3, No. 146

---

Compound: Tl2OsRu
Source: Alexandria via LeMat-Bulk
Functional: PBE
Structure: relaxed

POSCAR file:
```
Tl2OsRu
1.0
4.731 -0.006 0.000
3.705 2.941 0.000
1.023 0.356 5.291
Ru Os Tl
1 1 2
direct
0.250 0.250 0.250
0.750 0.750 0.750
0.999 0.999 0.001
0.501 0.501 0.499
```

final energy: -5.3781 eV/atom
relative energy among the computed polymorphs: 42.10 kJ/mol of atoms
SG: C2/m, No. 12
E_form: 3.73 eV/f.u.

---

Compound: LiCrTc
Source: Alexandria via LeMat-Bulk
Functional: PBE
Structure: relaxed

POSCAR file:
```
LiCrTc
1.0
4.229 0.000 0.000
-2.114 3.662 0.000
0.000 0.000 4.901
Li Cr Tc
2 2 2
direct
0.000 0.000 0.500
0.000 0.000 0.000
0.667 0.333 0.680
0.333 0.667 0.320
0.667 0.333 0.186
0.333 0.667 0.814
```

final energy: -7.1084 eV/atom
relative energy among the computed polymorphs: 0.84 kJ/mol of atoms
SG: P-3m1, No. 164
E_form: 0.58 eV/f.u.

---

Compound: Sr2CaRe
Source: Alexandria via LeMat-Bulk
Functional: PBE
Structure: relaxed

POSCAR file:
```
Sr2CaRe
1.0
-0.584 -2.142 2.559
5.401 1.628 2.595
0.681 5.135 4.453
Sr Re Ca
2 1 1
direct
0.500 0.500 0.000
0.000 0.000 0.000
0.000 0.000 0.500
0.500 0.500 0.500
```

final energy: -3.3763 eV/atom
relative energy among the computed polymorphs: 30.98 kJ/mol of atoms
SG: P2/m, No. 10
E_form: 4.31 eV/f.u.